No. 1
Li2GaBi | PBE | relaxed

Cell and atoms, written as POSCAR:
```
Li2GaBi
1.0
4.312 0.000 0.000
0.000 4.312 0.000
2.156 2.156 9.645
Bi Ga Li
2 2 4
Cartesian
0.000 0.000 0.000
4.312 2.156 4.823
2.156 2.156 0.000
2.156 4.312 4.823
3.169 1.078 2.411
1.143 3.234 2.411
3.234 3.299 7.234
5.390 5.326 7.234
```

Output
**Magnetization**: 0.00 μB/atom
**ΔE_f**: -11.65 kJ per mole of atoms
**Density of states at the Fermi level**: 5.0 states/eV per cell
**Space group**: No. 122
**Total DFT energy (no corrections)**: -0.1031 hartree per atom

***

No. 2
Li7GaBi4 | PBE | relaxed

Cell and atoms, written as POSCAR:
```
Li7GaBi4
1.0
5.080 0.000 0.000
2.540 8.805 -0.202
2.540 0.117 6.161
Li Ga Bi
7 1 4
Cartesian
7.621 8.057 3.039
2.540 0.866 2.919
2.540 5.775 0.984
7.621 3.148 4.975
5.080 4.880 4.457
2.540 0.000 0.000
5.080 4.043 1.502
0.000 0.000 0.000
5.080 2.075 3.776
5.080 6.847 2.183
7.621 6.212 5.242
2.540 2.711 0.717
```

Output
**Magnetization**: 0.00 μB/atom
**ΔE_f**: -29.23 kJ per mole of atoms
**Density of states at the Fermi level**: 1.3 states/eV per cell
**Space group**: No. 12
**Total DFT energy (no corrections)**: -0.1090 hartree per atom

***

No. 3
Li8GaBi2 | PBE | relaxed

Cell and atoms, written as POSCAR:
```
Li8GaBi2
1.0
-3.014 -3.348 1.103
3.853 -4.987 -4.607
3.002 2.590 6.318
Li Ga Bi
8 1 2
Cartesian
3.205 -2.150 2.235
2.253 -5.686 -1.350
2.855 -5.289 1.501
1.133 -2.240 6.049
0.986 -0.455 1.313
1.588 -0.059 4.163
0.636 -3.594 0.579
2.708 -3.504 -3.236
-1.507 -1.674 0.551
0.527 -2.612 3.264
3.314 -3.132 -0.451
```

Output
**Magnetization**: 0.00 μB/atom
**ΔE_f**: -37.29 kJ per mole of atoms
**Density of states at the Fermi level**: 2.4 states/eV per cell
**Space group**: No. 71
**Total DFT energy (no corrections)**: -0.1014 hartree per atom

***

No. 4
Li3GaBi | PBE | relaxed

Cell and atoms, written as POSCAR:
```
Li3GaBi
1.0
5.237 0.000 0.000
0.000 5.237 0.000
0.000 0.000 5.237
Bi Ga Li
1 1 3
Cartesian
0.000 0.000 0.000
2.619 2.619 2.619
0.000 2.619 0.000
0.000 0.000 2.619
2.619 0.000 0.000
```

Output
**Magnetization**: 0.00 μB/atom
**ΔE_f**: 0.96 kJ per mole of atoms
**E above lowest polymorph**: 0.3426 eV per atom
**Density of states at the Fermi level**: 3.4 states/eV per cell
**Space group**: No. 221
**Total DFT energy (no corrections)**: -0.0926 hartree per atom

***

No. 5
Li2GaBi2 | PBE | relaxed

Cell and atoms, written as POSCAR:
```
Li2GaBi2
1.0
-4.858 3.449 -6.379
4.477 -4.613 -5.904
-2.064 -2.373 0.289
Bi Ga Li
4 2 4
Cartesian
2.115 -2.686 -6.956
-0.995 -0.261 -9.248
-2.495 1.522 -5.327
0.614 -0.904 -3.035
0.000 0.000 0.000
-0.190 -0.582 -6.141
1.160 -3.636 -4.309
-0.125 -3.090 -9.007
-3.605 0.098 -7.685
-2.320 -0.448 -2.987
```

Output
**Magnetization**: 0.00 μB/atom
**ΔE_f**: -18.37 kJ per mole of atoms
**E above lowest polymorph**: 0.0000 eV per atom
**Density of states at the Fermi level**: 3.1 states/eV per cell
**Space group**: No. 127
**Total DFT energy (no corrections)**: -0.1144 hartree per atom

***

No. 6
Li2GaBi | PBE | relaxed

Cell and atoms, written as POSCAR:
```
Li2GaBi
1.0
4.139 0.000 0.000
0.000 4.417 0.000
0.000 0.000 4.417
Bi Ga Li
1 1 2
Cartesian
2.070 2.208 2.208
2.070 0.000 0.000
0.000 0.000 2.208
0.000 2.208 0.000
```

Output
**Magnetization**: 0.00 μB/atom
**ΔE_f**: -28.61 kJ per mole of atoms
**Density of states at the Fermi level**: 2.2 states/eV per cell
**Space group**: No. 123
**Total DFT energy (no corrections)**: -0.1095 hartree per atom

***

> What is the total DFT energy (no corrections) in the sixth record?

-0.1095 hartree per atom